Computed, not measured: crystalline AlCrSiNi2 at its relaxed geometry at the GGA-PBE level of DFT.

* space group: P4/mmm
* ρ: 4.70 g cm⁻³
* formation energy from raw total energies: 6.04 eV/f.u.

Cell and atoms, written as POSCAR:
```
AlCrSiNi2
1.0
4.173 0.000 0.000
0.000 4.173 0.000
0.000 0.000 4.556
Al Cr Si Ni
1 1 1 2
Cartesian
0.000 0.000 0.000
2.086 2.086 2.278
0.000 0.000 2.278
0.000 2.086 0.000
2.086 0.000 0.000
```

***

Computed, not measured: crystalline AlCrTcNi at its relaxed geometry at the GGA-PBE level of DFT.

* space group: F-43m
* ρ: 7.59 g cm⁻³
* formation energy: -1.065 eV/f.u.

Cell and atoms, written as POSCAR:
```
AlCrTcNi
1.0
0.000 2.954 2.954
2.954 0.000 2.954
2.954 2.954 0.000
Al Cr Tc Ni
1 1 1 1
Cartesian
0.000 0.000 0.000
2.954 2.954 2.954
1.477 1.477 1.477
4.431 4.431 4.431
```

***

Computed, not measured: crystalline Y2AlCrNi at its relaxed geometry at the GGA-PBE level of DFT.

* space group: P4/mmm
* ρ: 3.86 g cm⁻³
* formation energy: 4.197 eV/f.u.

Cell and atoms, written as POSCAR:
```
Y2AlCrNi
1.0
5.458 0.000 0.000
0.000 5.458 0.000
0.000 0.000 4.553
Y Al Cr Ni
2 1 1 1
Cartesian
0.000 2.729 0.000
2.729 0.000 0.000
0.000 0.000 0.000
0.000 0.000 2.276
2.729 2.729 2.276
```

***

Computed, not measured: crystalline AlZn2CrNi at its relaxed geometry at the GGA-PBE level of DFT.

* space group: P4/mmm
* ρ: 5.13 g cm⁻³
* formation energy: 5.778 eV/f.u.

Cell and atoms, written as POSCAR:
```
AlZn2CrNi
1.0
4.517 0.000 0.000
0.000 4.517 0.000
0.000 0.000 4.256
Al Zn Cr Ni
1 2 1 1
Cartesian
0.000 0.000 0.000
0.000 2.259 0.000
2.259 0.000 0.000
2.259 2.259 2.128
0.000 0.000 2.128
```

***

Computed, not measured: crystalline AlZnCrNi at its relaxed geometry at the GGA-PBE level of DFT.

* space group: F-43m
* ρ: 6.43 g cm⁻³
* formation energy: -0.605 eV/f.u.

Cell and atoms, written as POSCAR:
```
AlZnCrNi
1.0
0.000 2.971 2.971
2.971 0.000 2.971
2.971 2.971 0.000
Al Zn Cr Ni
1 1 1 1
Cartesian
0.000 0.000 0.000
2.971 2.971 2.971
1.486 1.486 1.486
4.457 4.457 4.457
```

***

Computed, not measured: crystalline Np2Al12Cr at its relaxed geometry at the GGA-PBE level of DFT.

* space group: P4/nbm
* ρ: 4.96 g cm⁻³
* formation energy: 0.557 eV/f.u.

Cell and atoms, written as POSCAR:
```
Np2Al12Cr
1.0
5.848 0.000 0.000
0.000 5.848 0.000
0.000 0.000 16.626
Np Al Cr
4 24 2
Cartesian
1.462 4.386 4.154
1.462 4.386 12.471
4.386 1.462 4.154
4.386 1.462 12.471
0.001 5.847 1.503
5.847 0.001 15.123
5.847 2.923 1.503
0.001 2.925 15.123
0.450 3.374 7.157
0.450 5.398 9.468
1.462 1.462 3.178
1.462 1.462 5.639
1.462 1.462 10.986
1.462 1.462 13.447
2.474 3.374 9.468
2.474 5.398 7.157
2.925 0.001 1.503
2.923 5.847 15.123
2.923 2.925 1.503
2.925 2.923 15.123
3.374 0.450 9.468
3.374 2.474 7.157
4.386 4.386 3.178
4.386 4.386 5.639
4.386 4.386 10.986
4.386 4.386 13.447
5.398 0.450 7.157
5.398 2.474 9.468
1.462 4.386 0.000
4.386 1.462 0.000
```

***

Computed, not measured: crystalline NpAlCr at its relaxed geometry at the GGA-PBE level of DFT.

* space group: I4mm
* ρ: 10.30 g cm⁻³
* formation energy: 0.447 eV/f.u.
* polymorph energy (0 for the lowest one): 0.0 meV per atom

Cell and atoms, written as POSCAR:
```
NpAlCr
1.0
-1.482 1.482 5.795
1.482 -1.482 5.795
1.482 1.482 -5.795
Np Al Cr
1 1 1
Cartesian
0.000 0.000 0.000
0.000 0.000 8.209
0.000 0.000 4.001
```

***

Computed, not measured: crystalline NpAlCr at its relaxed geometry at the GGA-PBE level of DFT.

* space group: Fdd2
* ρ: 9.27 g cm⁻³
* formation energy: 1.159 eV/f.u.
* polymorph energy (0 for the lowest one): 237.5 meV per atom

Cell and atoms, written as POSCAR:
```
NpAlCr
1.0
0.000 5.650 3.941
5.085 0.000 3.941
5.085 5.650 0.000
Np Al Cr
4 4 4
Cartesian
5.710 4.040 3.941
7.003 6.865 5.912
4.461 7.260 3.941
8.252 10.085 5.912
4.245 1.367 3.690
1.703 1.458 1.720
3.383 4.192 1.720
5.925 9.934 3.690
7.153 5.665 3.937
9.696 8.460 5.907
3.017 5.635 3.937
5.560 8.490 5.907
```

***

Computed, not measured: crystalline NpAlCrTc at its relaxed geometry at the GGA-PBE level of DFT.

* space group: F-43m
* ρ: 10.75 g cm⁻³
* formation energy: 0.205 eV/f.u.

Cell and atoms, written as POSCAR:
```
NpAlCrTc
1.0
0.000 3.174 3.174
3.174 0.000 3.174
3.174 3.174 0.000
Np Al Cr Tc
1 1 1 1
Cartesian
0.000 0.000 0.000
3.174 3.174 3.174
4.761 4.761 4.761
1.587 1.587 1.587
```